1.
TaAlAu3 after structural relaxation, computed with PBE-GGA.

Structure (POSCAR):
```
TaAlAu3
1.0
4.661 0.000 0.000
0.000 4.661 0.000
0.000 0.000 4.661
Au Al Ta
3 1 1
direct
0.000 0.500 0.000 Au
0.000 0.000 0.500 Au
0.500 0.000 0.000 Au
0.000 0.000 0.000 Al
0.500 0.500 0.500 Ta
```

Results
For the calculated formation energy, the calculation gives 0.77 eV/atom. As for the density of states at the Fermi level: 3.36 states/eV/f.u. As for the space group: Pm-3m. The value obtained for the total magnetization is 0.0 μB per formula unit. As for the distance to the lowest polymorph of the same formula: 0.0 meV per atom.

=====

2.
KLiInHg after structural relaxation, computed with PBE-GGA.

Structure (POSCAR):
```
KLiInHg
1.0
-3.194 0.702 -4.234
-3.225 -3.957 -1.603
-5.290 0.419 0.680
K Li Hg In
1 1 1 1
direct
0.750 0.750 0.750 K
0.000 0.000 0.000 Li
0.500 0.500 0.500 Hg
0.250 0.250 0.250 In
```

Results
For the calculated formation energy, the calculation gives -0.10 eV/atom. As for the density of states at the Fermi level: 1.66 states/eV/f.u. As for the space group: F-43m. The value obtained for the total magnetization is 0.0 μB per formula unit.

=====

3.
Ti2AlOs2 after structural relaxation, computed with PBE-GGA.

Structure (POSCAR):
```
Ti2AlOs2
1.0
-3.246 0.449 -6.443
-6.371 -1.409 3.111
-0.450 2.996 0.435
Os Al Ti
4 2 4
direct
0.354 0.854 0.000 Os
0.854 0.646 0.000 Os
0.646 0.146 0.000 Os
0.146 0.354 0.000 Os
0.000 0.000 0.000 Al
0.500 0.500 0.000 Al
0.154 0.654 0.500 Ti
0.654 0.846 0.500 Ti
0.846 0.346 0.500 Ti
0.346 0.154 0.500 Ti
```

Results
For the calculated formation energy, the calculation gives -0.26 eV/atom. As for the density of states at the Fermi level: 5.49 states/eV/f.u. As for the space group: P4/mbm. The value obtained for the total magnetization is 0.0 μB per formula unit.

=====

4.
PuNpTeS2 after structural relaxation, computed with PBE-GGA.

Structure (POSCAR):
```
PuNpTeS2
1.0
-3.741 -1.097 2.053
-0.799 -3.045 -3.083
5.556 -2.422 4.101
Pu Np Te S
1 1 1 2
direct
0.865 0.865 0.731 Pu
0.136 0.136 0.271 Np
0.502 0.502 0.004 Te
0.748 0.248 0.497 S
0.248 0.748 0.497 S
```

Results
The calculation puts the formation energy without anion corrections at -1.1417 eV per atom. As for the density of states at the Fermi level: 14.24 states/eV/f.u. As for the space group: I4mm. The value obtained for the total magnetization is 9.0 μB per formula unit.

=====

5.
PmGaAs2 after structural relaxation, computed with PBE-GGA.

Structure (POSCAR):
```
PmGaAs2
1.0
-4.189 1.641 1.102
-2.260 -1.695 3.671
0.964 5.067 5.855
As Ga Pm
2 1 1
direct
0.104 0.104 0.689 As
0.896 0.896 0.311 As
0.000 0.000 0.000 Ga
0.500 0.500 0.500 Pm
```

Results
For the calculated formation energy, the calculation gives -0.44 eV/atom. As for the space group: R-3m. The value obtained for the total magnetization is 0.0 μB per formula unit. As for the distance to the lowest polymorph of the same formula: 160.6 meV per atom.